Record 1
Y2AlOs: relaxed, PBE.

```
data_Y2AlOs
_chemical_formula_sum 'Y2 Al1 Os1'
_space_group_name_H-M_alt 'P 4/m m m'
_space_group_IT_number 123
_space_group_name_Hall '-P 4 2'
_cell_length_a 3.508
_cell_length_b 3.508
_cell_length_c 7.078
_cell_angle_alpha 90.00
_cell_angle_beta 90.00
_cell_angle_gamma 90.00
loop_
_atom_site_label
_atom_site_type_symbol
_atom_site_fract_x
_atom_site_fract_y
_atom_site_fract_z
_atom_site_occupancy
Y1 Y 0.000 0.000 0.231 1
Al1 Al 0.500 0.500 0.500 1
Os1 Os 0.500 0.500 0.000 1
```

---

Record 2
Al2FeBr: relaxed, PBE.

```
data_Al2FeBr
_chemical_formula_sum 'Al8 Fe4 Br4'
_space_group_name_H-M_alt 'F m -3 m'
_space_group_IT_number 225
_space_group_name_Hall '-F 4 2 3'
_cell_length_a 6.753
_cell_length_b 6.753
_cell_length_c 6.753
_cell_angle_alpha 90.00
_cell_angle_beta 90.00
_cell_angle_gamma 90.00
loop_
_atom_site_label
_atom_site_type_symbol
_atom_site_fract_x
_atom_site_fract_y
_atom_site_fract_z
_atom_site_occupancy
Al1 Al 0.250 0.250 0.250 1
Fe1 Fe 0.000 0.000 0.000 1
Br1 Br 0.000 0.000 0.500 1
```

Computed properties:
Uncorrected formation energy: 0.6721 eV per atom
Energy above the lowest structure with this stoichiometry: 0.750 eV/atom

---

Record 3
ZrBe2Te: relaxed, PBE.

```
data_ZrBe2Te
_chemical_formula_sum 'Zr1 Be2 Te1'
_space_group_name_H-M_alt 'P 4/m m m'
_space_group_IT_number 123
_space_group_name_Hall '-P 4 2'
_cell_length_a 3.404
_cell_length_b 3.404
_cell_length_c 5.688
_cell_angle_alpha 90.00
_cell_angle_beta 90.00
_cell_angle_gamma 90.00
loop_
_atom_site_label
_atom_site_type_symbol
_atom_site_fract_x
_atom_site_fract_y
_atom_site_fract_z
_atom_site_occupancy
Zr1 Zr 0.000 0.000 0.000 1
Be1 Be 0.500 0.500 0.281 1
Te1 Te 0.000 0.000 0.500 1
```

Computed properties:
Uncorrected formation energy: 0.1941 eV per atom

---

Record 4
InINO2: relaxed, PBE.

```
data_InINO2
_chemical_formula_sum 'In1 I1 N1 O2'
_space_group_name_H-M_alt 'P 4/m m m'
_space_group_IT_number 123
_space_group_name_Hall '-P 4 2'
_cell_length_a 4.116
_cell_length_b 4.116
_cell_length_c 4.420
_cell_angle_alpha 90.00
_cell_angle_beta 90.00
_cell_angle_gamma 90.00
loop_
_atom_site_label
_atom_site_type_symbol
_atom_site_fract_x
_atom_site_fract_y
_atom_site_fract_z
_atom_site_occupancy
In1 In 0.000 0.000 0.000 1
I1 I 0.500 0.500 0.500 1
N1 N 0.500 0.500 0.000 1
O1 O 0.000 0.500 0.500 1
```

Computed properties:
Uncorrected formation energy: 0.5096 eV per atom

---

Record 5
YFeIr: relaxed, PBE.

```
data_YFeIr
_chemical_formula_sum 'Y4 Fe4 Ir4'
_space_group_name_H-M_alt 'I m m a'
_space_group_IT_number 74
_space_group_name_Hall '-I 2b 2'
_cell_length_a 5.067
_cell_length_b 5.555
_cell_length_c 7.365
_cell_angle_alpha 90.00
_cell_angle_beta 90.00
_cell_angle_gamma 90.00
loop_
_atom_site_label
_atom_site_type_symbol
_atom_site_fract_x
_atom_site_fract_y
_atom_site_fract_z
_atom_site_occupancy
Y1 Y 0.000 0.250 0.122 1
Fe1 Fe 0.250 0.250 0.750 1
Ir1 Ir 0.000 0.000 0.500 1
```

---

Record 6
OsPbF5: relaxed, PBE.

```
data_OsPbF5
_chemical_formula_sum 'Os4 Pb4 F20'
_space_group_name_H-M_alt 'C 1 2/c 1'
_space_group_IT_number 15
_space_group_name_Hall '-C 2yc'
_cell_length_a 9.624
_cell_length_b 7.156
_cell_length_c 7.962
_cell_angle_alpha 90.00
_cell_angle_beta 113.56
_cell_angle_gamma 90.00
loop_
_atom_site_label
_atom_site_type_symbol
_atom_site_fract_x
_atom_site_fract_y
_atom_site_fract_z
_atom_site_occupancy
Os1 Os 0.000 0.000 0.000 1
Pb1 Pb 0.000 0.466 0.250 1
F1 F 0.000 0.086 0.250 1
F2 F 0.003 0.285 0.972 1
F3 F 0.227 0.007 0.612 1
```

Computed properties:
Uncorrected formation energy: -1.7082 eV per atom

---

Record 7
KCu2Br: relaxed, PBE.

```
data_KCu2Br
_chemical_formula_sum 'K2 Cu4 Br2'
_space_group_name_H-M_alt 'C 1 m 1'
_space_group_IT_number 8
_space_group_name_Hall 'C -2y'
_cell_length_a 5.043
_cell_length_b 5.051
_cell_length_c 7.960
_cell_angle_alpha 90.00
_cell_angle_beta 108.18
_cell_angle_gamma 90.00
loop_
_atom_site_label
_atom_site_type_symbol
_atom_site_fract_x
_atom_site_fract_y
_atom_site_fract_z
_atom_site_occupancy
K1 K 0.000 0.000 0.000 1
Cu1 Cu 0.171 0.500 0.362 1
Cu2 Cu 0.205 0.000 0.431 1
Br1 Br 0.380 0.000 0.755 1
```

Computed properties:
Uncorrected formation energy: -0.1508 eV per atom
Energy above the lowest structure with this stoichiometry: 0.000 eV/atom

---

Record 8
ZrTa2CrSn: relaxed, PBE.

```
data_ZrTa2CrSn
_chemical_formula_sum 'Zr1 Ta2 Cr1 Sn1'
_space_group_name_H-M_alt 'P 4/m m m'
_space_group_IT_number 123
_space_group_name_Hall '-P 4 2'
_cell_length_a 4.999
_cell_length_b 4.999
_cell_length_c 5.156
_cell_angle_alpha 90.00
_cell_angle_beta 90.00
_cell_angle_gamma 90.00
loop_
_atom_site_label
_atom_site_type_symbol
_atom_site_fract_x
_atom_site_fract_y
_atom_site_fract_z
_atom_site_occupancy
Zr1 Zr 0.000 0.000 0.000 1
Ta1 Ta 0.000 0.500 0.500 1
Cr1 Cr 0.500 0.500 0.000 1
Sn1 Sn 0.000 0.000 0.500 1
```

---

Record 9
Tb2Pm5: relaxed, PBE.

```
data_Tb2Pm5
_chemical_formula_sum 'Tb4 Pm10'
_space_group_name_H-M_alt 'C 1 2/m 1'
_space_group_IT_number 12
_space_group_name_Hall '-C 2y'
_cell_length_a 11.889
_cell_length_b 3.546
_cell_length_c 11.722
_cell_angle_alpha 90.00
_cell_angle_beta 104.50
_cell_angle_gamma 90.00
loop_
_atom_site_label
_atom_site_type_symbol
_atom_site_fract_x
_atom_site_fract_y
_atom_site_fract_z
_atom_site_occupancy
Tb1 Tb 0.147 0.000 0.059 1
Pm1 Pm 0.000 0.000 0.500 1
Pm2 Pm 0.036 0.500 0.787 1
Pm3 Pm 0.236 0.000 0.364 1
```

Computed properties:
Energy above the lowest structure with this stoichiometry: 0.079 eV/atom

---

Record 10
LiSnHg: relaxed, PBE.

```
data_LiSnHg
_chemical_formula_sum 'Li4 Sn4 Hg4'
_space_group_name_H-M_alt 'C 1 2/m 1'
_space_group_IT_number 12
_space_group_name_Hall '-C 2y'
_cell_length_a 9.797
_cell_length_b 3.454
_cell_length_c 8.142
_cell_angle_alpha 90.00
_cell_angle_beta 100.50
_cell_angle_gamma 90.00
loop_
_atom_site_label
_atom_site_type_symbol
_atom_site_fract_x
_atom_site_fract_y
_atom_site_fract_z
_atom_site_occupancy
Li1 Li 0.111 0.000 0.209 1
Sn1 Sn 0.149 0.000 0.597 1
Hg1 Hg 0.124 0.500 0.918 1
```

Computed properties:
Energy above the lowest structure with this stoichiometry: 0.019 eV/atom

---

Record 11
In2CuIr: relaxed, PBE.

```
data_In2CuIr
_chemical_formula_sum 'In4 Cu2 Ir2'
_space_group_name_H-M_alt 'C 1 m 1'
_space_group_IT_number 8
_space_group_name_Hall 'C -2y'
_cell_length_a 10.182
_cell_length_b 3.049
_cell_length_c 4.708
_cell_angle_alpha 90.00
_cell_angle_beta 105.80
_cell_angle_gamma 90.00
loop_
_atom_site_label
_atom_site_type_symbol
_atom_site_fract_x
_atom_site_fract_y
_atom_site_fract_z
_atom_site_occupancy
In1 In 0.000 0.000 0.000 1
In2 In 0.215 0.000 0.630 1
Cu1 Cu 0.258 0.500 0.161 1
Ir1 Ir 0.467 0.000 0.483 1
```

---

In the order shown, the computed Fermi-level density of states values come out to 1.62; 5.53; 2.10; 1.92; 10.81; 15.58; 2.05; 9.76; 20.92; 4.35; 2.34 states/eV/cell.
In the order shown, the computed DFT total energy values come out to -29.10; -59.73; -18.37; -19.98; -101.57; -145.01; -23.13; -35.06; -64.55; -27.21; -36.72 eV/cell.